! BaHg3Se, relaxed, DFT PBE-GGA; values from VASP
! Fermi-level density of states: 2.14 states/eV/atom
! Spin magnetization: 0.1 μB per cell
! Energy above the most stable polymorph in this dataset: 407 meV per atom
&SYSTEM
  ibrav = 0, nat = 5, ntyp = 3
/
ATOMIC_SPECIES
Ba 137.33 Ba.upf
Hg 200.59 Hg.upf
Se 78.96 Se.upf
CELL_PARAMETERS angstrom
6.423 0.000 0.000
0.000 6.423 0.000
0.000 0.000 6.423
ATOMIC_POSITIONS crystal
Ba 0.000 0.000 0.000
Hg 0.000 0.000 0.500
Hg 0.000 0.500 0.000
Hg 0.500 0.000 0.000
Se 0.500 0.500 0.500